[1]
## Ag2RhF (GGA-PBE)

Data for a relaxed Ag2RhF crystal.

Output
Its uncorrected formation energy is 0.14 eV per atom. The calculation puts the energy relative to the lowest polymorph listed for this composition at 19 meV/atom. Its crystal system is cubic.

```
data_Ag2RhF
_cell_length_a 6.3358
_cell_length_b 6.3358
_cell_length_c 6.3358
_cell_angle_alpha 90.00
_cell_angle_beta 90.00
_cell_angle_gamma 90.00
_space_group_name_H-M_alt 'F m -3 m'
_space_group_IT_number 225
_space_group_name_Hall '-F 4 2 3'
loop_
_atom_site_label
_atom_site_type_symbol
_atom_site_fract_x
_atom_site_fract_y
_atom_site_fract_z
_atom_site_occupancy
Ag1 Ag 0.2500 0.2500 0.2500 1
Rh1 Rh 0.0000 0.0000 0.0000 1
F1 F 0.0000 0.0000 0.5000 1
```

[2]
## AgRhF4 (GGA-PBE)

Data for a relaxed AgRhF4 crystal.

Output
Its uncorrected formation energy is -1.33 eV per atom. Its crystal system is monoclinic.

```
data_AgRhF4
_cell_length_a 7.3589
_cell_length_b 11.6212
_cell_length_c 5.3968
_cell_angle_alpha 90.00
_cell_angle_beta 126.43
_cell_angle_gamma 90.00
_space_group_name_H-M_alt 'C 1 2/c 1'
_space_group_IT_number 15
_space_group_name_Hall '-C 2yc'
loop_
_atom_site_label
_atom_site_type_symbol
_atom_site_fract_x
_atom_site_fract_y
_atom_site_fract_z
_atom_site_occupancy
Ag1 Ag 0.0000 0.1785 0.2500 1
Rh1 Rh 0.0000 0.4338 0.7500 1
F1 F 0.1790 0.3145 0.7205 1
F2 F 0.1896 0.4437 0.2176 1
```